Pr2PtI2 | PBE | relaxed

Geometry as POSCAR:
```
Pr2PtI2
1.0
-0.3525 -3.1363 -2.8718
3.0165 -0.5195 -2.9731
6.7634 -8.5030 5.2857
Pr Pt I
2 1 2
Cartesian
2.5982 -3.4566 -2.8843 Pr
6.8291 -8.7022 2.3251 Pr
0.0000 0.0000 0.0000 Pt
2.8076 -3.5986 0.4152 I
6.6197 -8.5603 -0.9744 I
```

Properties
**Energy**: -4.990 eV/atom
**Space-group type**: R-3m, No. 166